Below is Tb8Sn2Pb after structural relaxation, with properties calculated at the PBE level.

Unit cell a=10.186 b=10.186 c=6.931 alpha=102.87 beta=102.87 gamma=28.77
Fractional positions:
Tb 0.024 0.024 0.261
Tb 0.217 0.217 0.830
Tb 0.340 0.340 0.497
Tb 0.407 0.407 0.021
Tb 0.593 0.593 0.979
Tb 0.660 0.660 0.503
Tb 0.783 0.783 0.170
Tb 0.976 0.976 0.739
Sn 0.182 0.182 0.259
Sn 0.818 0.818 0.741
Pb 0.500 0.500 0.500

Calculated values
Space-group type: C2/m (12)
Magnetic moment: 0.00 μB/f.u.
Calculated formation energy: -0.340 eV per atom

=====

Below is InTePd4 after structural relaxation, with properties calculated at the PBE level.

Unit cell a=7.180 b=7.180 c=7.180 alpha=112.86 beta=112.86 gamma=102.88
Fractional positions:
In 0.000 0.000 0.000
In 0.750 0.250 0.500
Te 0.253 0.753 0.500
Te 0.503 0.503 0.000
Pd 0.007 0.332 0.325
Pd 0.007 0.682 0.675
Pd 0.082 0.257 0.825
Pd 0.432 0.257 0.175
Pd 0.496 0.173 0.677
Pd 0.496 0.819 0.323
Pd 0.569 0.746 0.823
Pd 0.923 0.746 0.177

Calculated values
Formation energy without anion corrections: 0.13 eV per atom
Space-group type: I4_1md (109)
Magnetic moment: 0.00 μB/f.u.
ΔE to the lowest computed polymorph: 488 meV/atom

=====

Below is LaNbMo after structural relaxation, with properties calculated at the PBE level.

Unit cell a=4.949 b=7.963 c=7.963 alpha=25.84 beta=90.00 gamma=90.00
Fractional positions:
La 0.000 0.000 0.000
La 0.500 0.157 0.157
Nb 0.000 0.321 0.321
Nb 0.500 0.439 0.439
Mo 0.000 0.701 0.701
Mo 0.500 0.822 0.822

Calculated values
Space-group type: Amm2 (38)
Magnetic moment: 0.00 μB/f.u.
ΔE to the lowest computed polymorph: 109 meV/atom
Calculated formation energy: 0.308 eV per atom

=====

Below is ReSiAs2 after structural relaxation, with properties calculated at the PBE level.

Unit cell a=3.255 b=3.301 c=6.794 alpha=90.00 beta=90.00 gamma=90.00
Fractional positions:
Re 0.000 0.000 0.000
Si 0.500 0.500 0.876
As 0.000 0.500 0.288
As 0.500 0.000 0.620

Calculated values
Formation energy without anion corrections: 0.21 eV per atom
Space-group type: Pmm2 (25)
Magnetic moment: 0.00 μB/f.u.

=====

- Which formula does entry 4 have?
  ReSiAs2

=====

- Which value of magnetic moment does entry 1 give?
  0.00 μB/f.u.

=====

- Look up the magnetic moment of the third one.
  0.00 μB/f.u.